Entry from Alexandria via LeMat-Bulk: a relaxed Sm14DyTl crystal (PBE).

Structure (CIF):
```
data_Sm14DyTl
_cell_length_a 10.206
_cell_length_b 10.135
_cell_length_c 10.136
_cell_angle_alpha 90.00
_cell_angle_beta 90.00
_cell_angle_gamma 90.00
_symmetry_space_group_name_H-M 'A m m 2'
_symmetry_Int_Tables_number 38
loop_
_symmetry_equiv_pos_as_xyz
'x,y,z'
'-x,-y,z'
'-x,y,z'
'x,-y,z'
'x,y+1/2,z+1/2'
'-x,-y+1/2,z+1/2'
'-x,y+1/2,z+1/2'
'x,-y+1/2,z+1/2'
loop_
_atom_site_label
_atom_site_fract_x
_atom_site_fract_y
_atom_site_fract_z
Sm1 0.000 0.000 0.000
Sm2 0.000 0.000 0.499
Sm3 0.000 0.250 0.250
Sm4 0.253 0.000 0.749
Sm5 0.254 0.000 0.250
Sm6 0.254 0.250 0.000
Sm7 0.500 0.249 0.749
Dy1 0.500 0.000 0.000
Tl1 0.500 0.000 0.499
```

Calculated values
final energy	-4.58	eV/atom
formation energy	-0.018	eV per atom